Crystalline Al2TcW at its relaxed geometry. Source: the Alexandria database, functional PBE.

Geometry as CIF:
```
data_Al2TcW
_cell_length_a 3.122
_cell_length_b 4.465
_cell_length_c 4.304
_cell_angle_alpha 90.00
_cell_angle_beta 90.00
_cell_angle_gamma 90.00
_space_group_name_H-M_alt 'P 1'
_space_group_IT_number 1
loop_
_space_group_symop_operation_xyz
'x,y,z'
loop_
_atom_site_label
_atom_site_type_symbol
_atom_site_fract_x
_atom_site_fract_y
_atom_site_fract_z
_atom_site_occupancy
Tc1 Tc 0.500 0.000 0.500 1
W1 W 0.000 0.500 0.500 1
Al1 Al 0.000 0.000 0.000 1
Al2 Al 0.500 0.500 0.000 1
```

Summary:
Total magnetization: 0.000 μB/f.u.
Energy above the lowest structure with this stoichiometry: 0.219 eV/atom
Symmetry: Pmmm, No. 47
VASP energy: -31.17 eV per formula unit

---

Crystalline KCO3 at its relaxed geometry. Source: the Alexandria database, functional PBE.

Geometry as CIF:
```
data_KCO3
_cell_length_a 3.873
_cell_length_b 5.954
_cell_length_c 7.482
_cell_angle_alpha 66.55
_cell_angle_beta 90.00
_cell_angle_gamma 90.00
_space_group_name_H-M_alt 'P 1'
_space_group_IT_number 1
loop_
_space_group_symop_operation_xyz
'x,y,z'
loop_
_atom_site_label
_atom_site_type_symbol
_atom_site_fract_x
_atom_site_fract_y
_atom_site_fract_z
_atom_site_occupancy
K1 K 0.750 0.348 0.303 1
K2 K 0.250 0.652 0.697 1
C1 C 0.750 0.113 0.775 1
C2 C 0.250 0.887 0.225 1
O1 O 0.750 0.339 0.706 1
O2 O 0.750 0.956 0.706 1
O3 O 0.250 0.044 0.294 1
O4 O 0.250 0.661 0.294 1
O5 O 0.000 0.000 0.000 1
O6 O 0.500 0.000 0.000 1
```

Summary:
Formation energy (no corrections): -1.079 eV/atom
Total magnetization: 0.171 μB/f.u.
Symmetry: Cmcm, No. 63
VASP energy: -30.59 eV per formula unit

---

Crystalline Sm3Dy2Er7 at its relaxed geometry. Source: the Alexandria database, functional PBE.

Geometry as CIF:
```
data_Sm3Dy2Er7
_cell_length_a 3.505
_cell_length_b 6.296
_cell_length_c 17.841
_cell_angle_alpha 75.72
_cell_angle_beta 90.00
_cell_angle_gamma 90.00
_space_group_name_H-M_alt 'P 1'
_space_group_IT_number 1
loop_
_space_group_symop_operation_xyz
'x,y,z'
loop_
_atom_site_label
_atom_site_type_symbol
_atom_site_fract_x
_atom_site_fract_y
_atom_site_fract_z
_atom_site_occupancy
Sm1 Sm 0.500 0.500 0.000 1
Sm2 Sm 0.000 0.110 0.342 1
Sm3 Sm 0.000 0.890 0.658 1
Dy1 Dy 0.500 0.617 0.326 1
Dy2 Dy 0.500 0.383 0.674 1
Er1 Er 0.500 0.246 0.501 1
Er2 Er 0.500 0.754 0.499 1
Er3 Er 0.000 0.563 0.165 1
Er4 Er 0.000 0.000 0.000 1
Er5 Er 0.000 0.437 0.835 1
Er6 Er 0.500 0.941 0.834 1
Er7 Er 0.500 0.059 0.166 1
```

Summary:
Total magnetization: 0.000 μB/f.u.
Symmetry: P2/m, No. 10
VASP energy: -54.27 eV per formula unit

---

Crystalline Al3SbI at its relaxed geometry. Source: the Alexandria database, functional PBE.

Geometry as CIF:
```
data_Al3SbI
_cell_length_a 5.574
_cell_length_b 5.574
_cell_length_c 5.574
_cell_angle_alpha 90.00
_cell_angle_beta 90.00
_cell_angle_gamma 90.00
_space_group_name_H-M_alt 'P 1'
_space_group_IT_number 1
loop_
_space_group_symop_operation_xyz
'x,y,z'
loop_
_atom_site_label
_atom_site_type_symbol
_atom_site_fract_x
_atom_site_fract_y
_atom_site_fract_z
_atom_site_occupancy
I1 I 0.500 0.500 0.500 1
Sb1 Sb 0.000 0.000 0.000 1
Al1 Al 0.000 0.500 0.000 1
Al2 Al 0.000 0.000 0.500 1
Al3 Al 0.500 0.000 0.000 1
```

Summary:
Formation energy (no corrections): 0.616 eV/atom
Total magnetization: 0.000 μB/f.u.
Energy above the lowest structure with this stoichiometry: 0.000 eV/atom
Symmetry: Pm-3m, No. 221
VASP energy: -13.82 eV per formula unit

---

Crystalline TaTi2BeH at its relaxed geometry. Source: the Alexandria database, functional PBE.

Geometry as CIF:
```
data_TaTi2BeH
_cell_length_a 3.958
_cell_length_b 3.958
_cell_length_c 4.054
_cell_angle_alpha 90.00
_cell_angle_beta 90.00
_cell_angle_gamma 90.00
_space_group_name_H-M_alt 'P 1'
_space_group_IT_number 1
loop_
_space_group_symop_operation_xyz
'x,y,z'
loop_
_atom_site_label
_atom_site_type_symbol
_atom_site_fract_x
_atom_site_fract_y
_atom_site_fract_z
_atom_site_occupancy
Be1 Be 0.500 0.500 0.500 1
Ti1 Ti 0.000 0.500 0.000 1
Ti2 Ti 0.500 0.000 0.000 1
H1 H 0.000 0.000 0.000 1
Ta1 Ta 0.000 0.000 0.500 1
```

Summary:
Total magnetization: 0.000 μB/f.u.
Energy above the lowest structure with this stoichiometry: 0.000 eV/atom
Symmetry: P4/mmm, No. 123
VASP energy: -35.17 eV per formula unit

---

Crystalline EuYTe2 at its relaxed geometry. Source: the Alexandria database, functional PBE.

Geometry as CIF:
```
data_EuYTe2
_cell_length_a 4.452
_cell_length_b 4.452
_cell_length_c 7.836
_cell_angle_alpha 73.50
_cell_angle_beta 73.50
_cell_angle_gamma 60.00
_space_group_name_H-M_alt 'P 1'
_space_group_IT_number 1
loop_
_space_group_symop_operation_xyz
'x,y,z'
loop_
_atom_site_label
_atom_site_type_symbol
_atom_site_fract_x
_atom_site_fract_y
_atom_site_fract_z
_atom_site_occupancy
Eu1 Eu 0.500 0.500 0.500 1
Y1 Y 0.000 0.000 0.000 1
Te1 Te 0.254 0.254 0.237 1
Te2 Te 0.746 0.746 0.763 1
```

Summary:
Formation energy (no corrections): -1.510 eV/atom
Total magnetization: 6.999 μB/f.u.
Symmetry: R-3m, No. 166
VASP energy: -29.06 eV per formula unit

---

Crystalline Al3BiSb at its relaxed geometry. Source: the Alexandria database, functional PBE.

Geometry as CIF:
```
data_Al3BiSb
_cell_length_a 5.298
_cell_length_b 5.298
_cell_length_c 5.298
_cell_angle_alpha 90.00
_cell_angle_beta 90.00
_cell_angle_gamma 90.00
_space_group_name_H-M_alt 'P 1'
_space_group_IT_number 1
loop_
_space_group_symop_operation_xyz
'x,y,z'
loop_
_atom_site_label
_atom_site_type_symbol
_atom_site_fract_x
_atom_site_fract_y
_atom_site_fract_z
_atom_site_occupancy
Sb1 Sb 0.000 0.000 0.000 1
Bi1 Bi 0.500 0.500 0.500 1
Al1 Al 0.000 0.500 0.000 1
Al2 Al 0.000 0.000 0.500 1
Al3 Al 0.500 0.000 0.000 1
```

Summary:
Formation energy (no corrections): 0.679 eV/atom
Total magnetization: 0.000 μB/f.u.
Energy above the lowest structure with this stoichiometry: 0.000 eV/atom
Symmetry: Pm-3m, No. 221
VASP energy: -15.84 eV per formula unit

---

Crystalline La2Tl2Sn at its relaxed geometry. Source: the Alexandria database, functional PBE.

Geometry as CIF:
```
data_La2Tl2Sn
_cell_length_a 4.970
_cell_length_b 6.556
_cell_length_c 10.660
_cell_angle_alpha 89.29
_cell_angle_beta 76.52
_cell_angle_gamma 67.72
_space_group_name_H-M_alt 'P 1'
_space_group_IT_number 1
loop_
_space_group_symop_operation_xyz
'x,y,z'
loop_
_atom_site_label
_atom_site_type_symbol
_atom_site_fract_x
_atom_site_fract_y
_atom_site_fract_z
_atom_site_occupancy
La1 La 0.713 0.224 0.349 1
La2 La 0.891 0.285 0.933 1
La3 La 0.287 0.776 0.651 1
La4 La 0.109 0.715 0.067 1
Tl1 Tl 0.086 0.274 0.553 1
Tl2 Tl 0.641 0.846 0.871 1
Tl3 Tl 0.914 0.726 0.447 1
Tl4 Tl 0.359 0.154 0.129 1
Sn1 Sn 0.509 0.258 0.724 1
Sn2 Sn 0.491 0.742 0.276 1
```

Summary:
Total magnetization: 0.000 μB/f.u.
Energy above the lowest structure with this stoichiometry: 0.000 eV/atom
Symmetry: C2/m, No. 12
VASP energy: -20.97 eV per formula unit

---

| no. | ρ (g cm⁻³) |
| --- | --- |
| 1 | 9.30 |
| 2 | 2.08 |
| 3 | 8.47 |
| 4 | 3.16 |
| 5 | 7.50 |
| 6 | 6.48 |
| 7 | 4.60 |
| 8 | 8.59 |